Material: KHgSbTe2
Method: DFT, PBE-GGA
State: optimized geometry

Computed properties:
* ΔE to the lowest computed polymorph: 748 meV per atom
* size of the total moment: 0.03 μB per cell
* energy relative to the elements, uncorrected: 83.0 kJ per mole of atoms

Lattice parameters (Å, degrees): 6.0795 6.0795 6.1151 90.00 90.00 90.00
Atoms (fractional coordinates):
K: 0.0000 0.0000 0.0000
Hg: 0.5000 0.5000 0.5000
Sb: 0.0000 0.0000 0.5000
Te: 0.0000 0.5000 0.0000
Te: 0.5000 0.0000 0.0000